Here is a PBEsol-optimized structure of CdCo3N from Alexandria via LeMat-Bulk. Energies are from meta-GGA SCAN.

Results
Total magnetic moment   3.7 μB per formula unit
Calculated volume   10.85 Å³/atom
Final energy   -91.26 eV/f.u.

Cell and atoms, written as CIF:
```
data_CdCo3N
_chemical_formula_sum 'Cd1 Co3 N1'
_space_group_name_H-M_alt 'P m -3 m'
_space_group_IT_number 221
_space_group_name_Hall '-P 4 2 3'
_cell_length_a 3.786
_cell_length_b 3.786
_cell_length_c 3.786
_cell_angle_alpha 90.00
_cell_angle_beta 90.00
_cell_angle_gamma 90.00
loop_
_atom_site_label
_atom_site_fract_x
_atom_site_fract_y
_atom_site_fract_z
_atom_site_occupancy
Cd1 0.000 0.000 0.000 1
Co1 0.000 0.500 0.500 1
N1 0.500 0.500 0.500 1
```